First-principles (PBE) data for a relaxed Sr2InSbPt6 crystal, as listed in Alexandria.

Energy relative to the elements, uncorrected: -5.6 eV per formula unit

Lattice parameters (Å, degrees): 6.309 6.748 7.013 100.41 108.20 116.94
Space group P-1 (No. 2)
Asymmetric unit:
Sr1 0.072 0.197 0.301 (multiplicity 2)
In1 0.500 0.500 0.000 (multiplicity 1)
Sb1 0.500 0.000 0.500 (multiplicity 1)
Pt1 0.005 0.645 0.249 (multiplicity 2)
Pt2 0.362 0.821 0.078 (multiplicity 2)
Pt3 0.373 0.694 0.691 (multiplicity 2)

=====

First-principles (PBE) data for a relaxed SmInRu4 crystal, as listed in Alexandria.

E_form: 0.00 eV/atom

Lattice parameters (Å, degrees): 7.504 7.504 7.504 90.00 90.00 90.00
Space group F-43m (No. 216)
Asymmetric unit:
Sm1 0.000 0.000 0.000 (multiplicity 4)
In1 0.250 0.250 0.250 (multiplicity 4)
Ru1 0.124 0.124 0.624 (multiplicity 16)

=====

First-principles (PBE) data for a relaxed FeTc2Ir crystal, as listed in Alexandria.

E_form: -0.02 eV/atom

Lattice parameters (Å, degrees): 2.690 3.822 5.396 90.00 90.00 90.00
Space group Pmm2 (No. 25)
Asymmetric unit:
Fe1 0.000 0.000 0.000 (multiplicity 1)
Tc1 0.000 0.000 0.499 (multiplicity 1)
Tc2 0.500 0.500 0.758 (multiplicity 1)
Ir1 0.500 0.500 0.243 (multiplicity 1)

=====

First-principles (PBE) data for a relaxed AcCu2AgO5 crystal, as listed in Alexandria.

Energy relative to the elements, uncorrected: -9.9 eV per formula unit

Lattice parameters (Å, degrees): 3.888 3.888 7.322 90.00 90.00 90.00
Space group P4/mmm (No. 123)
Asymmetric unit:
Ac1 0.000 0.000 0.000 (multiplicity 1)
Cu1 0.500 0.500 0.275 (multiplicity 2)
Ag1 0.000 0.000 0.500 (multiplicity 1)
O1 0.000 0.500 0.266 (multiplicity 4)
O2 0.500 0.500 0.000 (multiplicity 1)

=====

First-principles (PBE) data for a relaxed MnCr2C crystal, as listed in Alexandria.

E_form: -0.05 eV/atom

Lattice parameters (Å, degrees): 2.711 8.487 6.651 90.00 90.00 90.00
Space group Cmcm (No. 63)
Asymmetric unit:
Mn1 0.000 0.079 0.250 (multiplicity 4)
Cr1 0.000 0.361 0.066 (multiplicity 8)
C1 0.000 0.250 0.750 (multiplicity 4)

=====

First-principles (PBE) data for a relaxed DyY6Co2 crystal, as listed in Alexandria.

E_form: -0.05 eV/atom

Lattice parameters (Å, degrees): 9.525 10.043 10.099 90.00 90.00 90.00
Space group Immm (No. 71)
Asymmetric unit:
Dy1 0.000 0.000 0.000 (multiplicity 2)
Dy2 0.000 0.000 0.500 (multiplicity 2)
Y1 0.000 0.212 0.242 (multiplicity 8)
Y2 0.183 0.500 0.180 (multiplicity 8)
Y3 0.211 0.316 0.500 (multiplicity 8)
Co1 0.000 0.292 0.000 (multiplicity 4)
Co2 0.000 0.500 0.387 (multiplicity 4)

=====

First-principles (PBE) data for a relaxed Ta2W crystal, as listed in Alexandria.

E_form: 0.20 eV/atom

Lattice parameters (Å, degrees): 5.480 5.480 14.489 90.00 100.84 90.00
Space group C2/c (No. 15)
Asymmetric unit:
Ta1 0.084 0.125 0.418 (multiplicity 8)
Ta2 0.250 0.125 0.749 (multiplicity 8)
W1 0.083 0.375 0.917 (multiplicity 8)

=====

First-principles (PBE) data for a relaxed TbTlZn4 crystal, as listed in Alexandria.

E_form: -0.10 eV/atom

Lattice parameters (Å, degrees): 7.808 7.808 7.808 90.00 90.00 90.00
Space group F-43m (No. 216)
Asymmetric unit:
Tb1 0.000 0.000 0.000 (multiplicity 4)
Tl1 0.250 0.250 0.750 (multiplicity 4)
Zn1 0.126 0.126 0.374 (multiplicity 16)

=====

| no. | DOS(E_F) (states/eV per atom) | V (A^3/atom) | raw total energy (Ry/atom) |
| --- | --- | --- | --- |
| 1 | 0.371 | 23.382 | -0.383 |
| 2 | 1.553 | 17.604 | -0.546 |
| 3 | 1.060 | 13.866 | -0.700 |
| 4 | 0.972 | 12.301 | -0.407 |
| 5 | 0.742 | 9.563 | -0.695 |
| 6 | 1.239 | 26.836 | -0.474 |
| 7 | 1.105 | 17.808 | -0.884 |
| 8 | 0.796 | 19.831 | -0.156 |